Computed, not measured: a relaxed structure of NaCd5In4 at the GGA-PBE level of DFT.

The value obtained for the formation energy is 48 meV/atom. As for the energy above the lowest structure with this stoichiometry: 48 meV/atom. Its calculated volume is 27.6 A^3/atom. The density of states at the Fermi level is 0.305 states/eV per atom. As for the raw total energy: -16.4 eV/cell.

a = 5.2293 Å, b = 8.2228 Å, c = 6.7952 Å
α = 84.68°, β = 90.00°, γ = 108.54°
Fractional positions:
1 Na 0.5000 0.0000 0.0000
2 Cd 0.1911 0.3822 0.4861
3 Cd 0.1644 0.3287 0.0005
4 Cd 0.8356 0.6713 0.9995
5 Cd 0.5000 0.0000 0.5000
6 Cd 0.8089 0.6178 0.5139
7 In 0.6675 0.3350 0.2451
8 In 0.9892 0.9783 0.2660
9 In 0.3325 0.6650 0.7549
10 In 0.0108 0.0217 0.7340